LiHoCuPd | PBE | optimized geometry

```
data_LiHoCuPd
_chemical_formula_sum 'Li4 Ho4 Cu4 Pd4'
_cell_length_a 6.616
_cell_length_b 6.616
_cell_length_c 6.616
_cell_angle_alpha 90.00
_cell_angle_beta 90.00
_cell_angle_gamma 90.00
_symmetry_space_group_name_H-M 'F -4 3 m'
_symmetry_Int_Tables_number 216
_symmetry_space_group_name_Hall 'F -4 2 3'
loop_
_atom_site_label
_atom_site_type_symbol
_atom_site_fract_x
_atom_site_fract_y
_atom_site_fract_z
Li1 Li 0.000 0.000 0.000
Ho1 Ho 0.000 0.000 0.500
Cu1 Cu 0.250 0.250 0.750
Pd1 Pd 0.250 0.250 0.250
```

Calculated values
The calculated volume comes out at 18.10 Å³ per atom. The value obtained for the total energy is -4.33 eV/atom. Its energy of formation is -0.389 eV/atom.

---

TiRuI2 | PBE | optimized geometry

```
data_TiRuI2
_chemical_formula_sum 'Ti4 Ru4 I8'
_cell_length_a 6.838
_cell_length_b 6.838
_cell_length_c 6.838
_cell_angle_alpha 90.00
_cell_angle_beta 90.00
_cell_angle_gamma 90.00
_symmetry_space_group_name_H-M 'F m -3 m'
_symmetry_Int_Tables_number 225
_symmetry_space_group_name_Hall '-F 4 2 3'
loop_
_atom_site_label
_atom_site_type_symbol
_atom_site_fract_x
_atom_site_fract_y
_atom_site_fract_z
Ti1 Ti 0.000 0.000 0.000
Ru1 Ru 0.000 0.000 0.500
I1 I 0.250 0.250 0.250
```

Calculated values
Its excess energy over the best structure of this formula in the dataset is 0 meV/atom. The calculated volume comes out at 19.98 Å³ per atom. As for the formation energy without anion corrections: 528 meV per atom. The value obtained for the total energy is -4.54 eV/atom.

---

PdPb2W2 | PBE | optimized geometry

```
data_PdPb2W2
_chemical_formula_sum 'Pd2 Pb4 W4'
_cell_length_a 8.177
_cell_length_b 8.177
_cell_length_c 3.155
_cell_angle_alpha 90.00
_cell_angle_beta 90.00
_cell_angle_gamma 90.00
_symmetry_space_group_name_H-M 'P 4/m b m'
_symmetry_Int_Tables_number 127
_symmetry_space_group_name_Hall '-P 4 2ab'
loop_
_atom_site_label
_atom_site_type_symbol
_atom_site_fract_x
_atom_site_fract_y
_atom_site_fract_z
Pd1 Pd 0.000 0.000 0.000
Pb1 Pb 0.186 0.314 0.000
W1 W 0.106 0.606 0.500
```

Calculated values
Its excess energy over the best structure of this formula in the dataset is 247 meV/atom. The calculated volume comes out at 21.10 Å³ per atom. The value obtained for the total energy is -6.70 eV/atom. Its energy of formation is 0.999 eV/atom.